[1]
Entry from the Alexandria database: crystalline PmPrAsO at its relaxed geometry (PBE-GGA).

Structure (POSCAR):
```
PmPrAsO
1.0
4.4675 0.0000 0.0000
0.0000 4.4675 0.0000
0.0000 0.0000 9.3529
Pm Pr As O
2 2 2 2
Cartesian
1.1169 3.3506 0.0000 Pm
3.3506 1.1169 0.0000 Pm
1.1169 1.1169 3.6867 Pr
3.3506 3.3506 5.6662 Pr
1.1169 1.1169 7.4411 As
3.3506 3.3506 1.9118 As
1.1169 3.3506 4.6765 O
3.3506 1.1169 4.6765 O
```

Calculated values
Space group ... P4/nmm (129)
Total magnetic moment ... 0.0 μB/f.u.
E_tot ... -6.6242 eV/atom

---

[2]
Entry from the Alexandria database: crystalline BaCa2Mg at its relaxed geometry (PBE-GGA).

Structure (POSCAR):
```
BaCa2Mg
1.0
-2.5841 2.5841 13.1400
2.5841 -2.5841 13.1400
2.5841 2.5841 -13.1400
Ba Ca Mg
2 4 2
Cartesian
0.0000 0.0000 0.0000 Ba
0.0000 2.5841 6.5700 Ba
1.2920 -1.1898 9.8550 Ca
1.3943 1.2920 3.2850 Ca
1.2920 3.7739 -3.2850 Ca
1.1898 1.2920 16.4251 Ca
2.5841 0.0000 6.5700 Mg
0.0000 0.0000 13.1400 Mg
```

Calculated values
Space group ... I-42d (122)
Total magnetic moment ... 0.0 μB/f.u.
ΔE_f ... 0.227 eV/atom
E_tot ... -1.6532 eV/atom

---

Question: The lowest E_tot belongs to which entry?
Answer: PmPrAsO

---

Question: Which of these has the highest E_tot?
Answer: BaCa2Mg